First-principles (PBE) data for KPa2RuN4 after structural relaxation, as listed in the Alexandria database.

abc: 3.595 12.094 12.176
angles: 90.00 90.00 90.00
Space group Cmcm (No. 63)
Inequivalent atoms, fractional coordinates:
K (0.000, 0.072, 0.250) [4 per cell]
Pa (0.000, 0.365, 0.058) [8 per cell]
Ru (0.000, 0.200, 0.750) [4 per cell]
N (0.000, 0.000, 0.000) [4 per cell]
N (0.000, 0.247, 0.588) [8 per cell]
N (0.000, 0.386, 0.250) [4 per cell]

Results
Energy (eV for the cell shown): -281.8